Crystalline NbHNF2 at its relaxed geometry. Source: Alexandria, functional PBE.

Calculated values
Crystal system ... tetragonal
Relative energy among the computed polymorphs ... 0 meV/atom
Total magnetic moment ... 1.12 μB per formula unit

Cell and atoms, written as POSCAR:
```
NbHNF2
1.0
4.168 0.000 0.000
0.000 4.168 0.000
0.000 0.000 3.907
Nb H N F
1 1 1 2
Direct
0.000 0.000 0.000
0.500 0.500 0.500
0.000 0.000 0.500
0.000 0.500 0.000
0.500 0.000 0.000
```